Material: SrV2TcO8
Method: DFT, PBE with a Hubbard U
State: relaxed

a b c (Å): 5.624 5.624 6.814
angles (deg): 90.00 90.00 120.00
Site moments in Bohr magnetons follow the coordinates.
Fractional positions:
O 0.319 0.160 0.318  0.04
O 0.667 0.333 0.997  0.03
O 0.333 0.667 0.003  0.03
Sr 0.000 0.000 0.000  0.00
O 0.681 0.840 0.682  0.04
O 0.160 0.841 0.682  0.04
O 0.841 0.681 0.318  0.04
O 0.840 0.159 0.318  0.04
V 0.667 0.333 0.243  0.17
V 0.333 0.667 0.757  0.17
O 0.159 0.319 0.682  0.04
Tc 0.000 0.000 0.500  2.11

- D(E_F): 0.0 states/eV/f.u.
- Calculated volume: 15.56 A^3/atom
- Energy: -7.53 eV/atom